BaTiPtO6: optimized geometry, PBE.

Properties
Formation energy (no corrections) ... -1.789 eV per atom
Uncorrected energy ... -6.86 eV per atom
Total magnetic moment ... 1.96 Bohr magnetons per cell

a b c (Å): 5.2862 5.2862 5.8306
angles (deg): 90.00 90.00 120.00
Closest atoms and distances in Å follow each position.
Space group P312 (No. 149)
Symmetry-distinct sites (fractional):
Ba  0.0000  0.0000  0.0000 [1 per cell]  6 O 2.71
Ti  0.3333  0.6667  0.5000 [1 per cell]  6 O 1.98
Pt  0.6667  0.3333  0.5000 [1 per cell]  6 O 1.98
O  0.9999  0.3792  0.6869 [6 per cell]  1 Pt 1.98, 1 Ti 1.98